Entry from Alexandria via LeMat-Bulk: a relaxed KZrAl2O6 crystal (PBE).

a = 9.122 Å, b = 11.882 Å, c = 6.298 Å
α = 90.00°, β = 113.30°, γ = 90.00°
Space group C2/c (No. 15)
Symmetry-distinct sites (fractional):
K  0.000  0.105  0.250 x4
Zr  0.000  0.198  0.750 x4
Al  0.129  0.424  0.152 x8
O  0.074  0.286  0.039 x8
O  0.105  0.472  0.418 x8
O  0.158  0.088  0.727 x8

Results
formation energy from raw total energies	-2579	meV per atom


Entry from Alexandria via LeMat-Bulk: a relaxed YTm2Be crystal (PBE).

a = 3.4045 Å, b = 3.4045 Å, c = 33.9126 Å
α = 90.00°, β = 90.00°, γ = 120.00°
Space group R-3m (No. 166, hexagonal axes)
Symmetry-distinct sites (fractional):
Y  0.0000  0.0000  0.0000 x3
Tm  0.0000  0.0000  0.4160 x6
Be  0.0000  0.0000  0.5000 x3

Results
density of states at the Fermi level	10.8	states/eV per cell
energy of formation	66.7	kJ per mole of atoms
polymorph energy (0 for the lowest one)	638	meV/atom


Entry from Alexandria via LeMat-Bulk: a relaxed CdTe4Au crystal (PBE).

a = 8.957 Å, b = 8.957 Å, c = 8.957 Å
α = 90.00°, β = 90.00°, γ = 90.00°
Space group F-43m (No. 216)
Symmetry-distinct sites (fractional):
Cd  0.000  0.000  0.000 x4
Te  0.125  0.125  0.625 x16
Au  0.250  0.250  0.250 x4

Results
density of states at the Fermi level	31.2	states/eV per cell
formation energy from raw total energies	506	meV per atom


Entry from Alexandria via LeMat-Bulk: a relaxed YHoSiPd crystal (PBE).

a = 4.236 Å, b = 3.947 Å, c = 10.737 Å
α = 90.00°, β = 90.00°, γ = 90.00°
Space group Amm2 (No. 38)
Symmetry-distinct sites (fractional):
Y  0.000  0.000  0.000 x2
Ho  0.500  0.000  0.281 x2
Si  0.000  0.000  0.720 x2
Pd  0.500  0.000  0.568 x2

Results
density of states at the Fermi level	5.0	states/eV per cell
formation energy from raw total energies	-848	meV per atom
polymorph energy (0 for the lowest one)	0	meV/atom


Entry from Alexandria via LeMat-Bulk: a relaxed HgBRhS2 crystal (PBE).

a = 4.859 Å, b = 4.859 Å, c = 3.958 Å
α = 90.00°, β = 90.00°, γ = 90.00°
Space group P4/mmm (No. 123)
Symmetry-distinct sites (fractional):
Hg  0.000  0.000  0.000 x1
B  0.500  0.500  0.000 x1
Rh  0.500  0.500  0.500 x1
S  0.000  0.500  0.500 x2

Results
density of states at the Fermi level	3.1	states/eV per cell
formation energy from raw total energies	563	meV per atom


Entry from Alexandria via LeMat-Bulk: a relaxed AcAg2GeO4 crystal (PBE).

a = 6.156 Å, b = 6.465 Å, c = 6.623 Å
α = 90.00°, β = 90.00°, γ = 90.00°
Space group I222 (No. 23)
Symmetry-distinct sites (fractional):
Ac  0.000  0.000  0.000 x2
Ag  0.000  0.500  0.283 x4
Ge  0.000  0.000  0.500 x2
O  0.164  0.151  0.328 x8

Results
density of states at the Fermi level	1.6	states/eV per cell
formation energy from raw total energies	-1439	meV per atom


Entry from Alexandria via LeMat-Bulk: a relaxed Be2Co2Hg crystal (PBE).

a = 6.671 Å, b = 6.671 Å, c = 2.661 Å
α = 90.00°, β = 90.00°, γ = 90.00°
Space group P4/mbm (No. 127)
Symmetry-distinct sites (fractional):
Be  0.166  0.334  0.000 x4
Co  0.121  0.621  0.500 x4
Hg  0.000  0.000  0.500 x2

Results
density of states at the Fermi level	9.3	states/eV per cell
energy of formation	20.3	kJ per mole of atoms
polymorph energy (0 for the lowest one)	127	meV/atom


Entry from Alexandria via LeMat-Bulk: a relaxed ErCuRhAu crystal (PBE).

a = 3.945 Å, b = 3.968 Å, c = 4.357 Å
α = 90.00°, β = 90.00°, γ = 90.00°
Space group Pmmm (No. 47)
Symmetry-distinct sites (fractional):
Er  0.000  0.000  0.000 x1
Cu  0.000  0.500  0.500 x1
Rh  0.500  0.500  0.000 x1
Au  0.500  0.000  0.500 x1

Results
density of states at the Fermi level	0.7	states/eV per cell
energy of formation	-57.3	kJ per mole of atoms
polymorph energy (0 for the lowest one)	0	meV/atom


Which formula does entry 1 have? KZrAl2O6